# 1
Compound: CeCd2Hg3
Source: Alexandria via LeMat-Bulk
Functional: PBE
Structure: relaxed

Its space group is No. 194. The calculation puts the energy relative to the elements at -110 kJ/mol of formula units. The density of states at the Fermi level is 9.8 states/eV/f.u.

a b c (Å): 5.0491 5.0491 13.5431
angles (deg): 90.00 90.00 120.00
With the nearest neighbours (Å) after each atom.
Fractional positions:
Ce 0.0000 0.0000 0.2500  8 Hg 3.32-3.39, 6 Cd 3.44
Ce 0.0000 0.0000 0.7500  8 Hg 3.32-3.39, 6 Cd 3.44
Cd 0.6667 0.3333 0.3851  3 Hg 2.92
Cd 0.3333 0.6667 0.6149  3 Hg 2.92
Cd 0.3333 0.6667 0.8851  3 Hg 2.92
Cd 0.6667 0.3333 0.1149  3 Hg 2.92
Hg 0.0000 0.0000 0.5000  6 Cd 3.30, 2 Ce 3.39, 6 Hg 3.42
Hg 0.0000 0.0000 0.0000  6 Cd 3.30, 2 Ce 3.39, 6 Hg 3.42
Hg 0.6667 0.3333 0.6325  3 Cd 2.92, 1 Hg 3.18
Hg 0.3333 0.6667 0.1325  3 Cd 2.92, 1 Hg 3.18
Hg 0.6667 0.3333 0.8675  3 Cd 2.92, 1 Hg 3.18
Hg 0.3333 0.6667 0.3675  3 Cd 2.92, 1 Hg 3.18

# 2
Compound: Ce2Cd3Hg4
Source: Alexandria via LeMat-Bulk
Functional: PBE
Structure: relaxed

Its space group is No. 12. The calculation puts the energy relative to the elements at -235 kJ/mol of formula units. The density of states at the Fermi level is 14.6 states/eV/f.u.

a b c (Å): 5.1409 5.1479 9.7765
angles (deg): 89.39 89.96 60.05
With the nearest neighbours (Å) after each atom.
Fractional positions:
Ce 0.3310 0.3386 0.7796  7 Hg 3.17-3.21, 1 Cd 3.45
Ce 0.6690 0.6614 0.2204  7 Hg 3.17-3.21, 1 Cd 3.45
Cd 0.3363 0.3266 0.4269  4 Hg 3.06-3.16, 3 Cd 3.23-3.34
Cd 0.0000 0.0000 0.0000  8 Hg 3.14-3.37
Cd 0.6637 0.6734 0.5731  4 Hg 3.06-3.16, 3 Cd 3.23-3.34
Hg 0.6655 0.6692 0.8963  4 Cd 3.14-3.16, 4 Ce 3.17-3.18
Hg 0.0038 0.9915 0.3443  1 Hg 3.05, 4 Cd 3.06-3.37, 3 Ce 3.21
Hg 0.9962 0.0085 0.6557  1 Hg 3.05, 4 Cd 3.06-3.37, 3 Ce 3.21
Hg 0.3345 0.3308 0.1037  4 Cd 3.14-3.16, 4 Ce 3.17-3.18

# 3
Compound: Ce3Cd4Hg2
Source: Alexandria via LeMat-Bulk
Functional: PBE
Structure: relaxed

Its space group is No. 12. The calculation puts the energy relative to the elements at -257 kJ/mol of formula units. The density of states at the Fermi level is 20.1 states/eV/f.u.

a b c (Å): 5.1126 6.0925 9.4503
angles (deg): 119.44 90.00 114.81
With the nearest neighbours (Å) after each atom.
Fractional positions:
Ce 0.6684 0.3367 0.6658  2 Ce 3.30-3.32, 4 Hg 3.37-3.41, 8 Cd 3.38-3.39
Ce 0.0000 0.0000 0.0000  2 Ce 3.30, 8 Cd 3.37-3.40, 4 Hg 3.38
Ce 0.3316 0.6633 0.3342  2 Ce 3.30-3.32, 4 Hg 3.37-3.41, 8 Cd 3.38-3.39
Cd 0.7236 0.4472 0.0551  3 Cd 2.94-3.28, 1 Hg 2.97
Cd 0.2764 0.5528 0.9449  3 Cd 2.94-3.28, 1 Hg 2.97
Cd 0.9472 0.8944 0.6123  1 Cd 2.92, 2 Hg 2.96
Cd 0.0528 0.1056 0.3877  1 Cd 2.92, 2 Hg 2.96
Hg 0.6102 0.2204 0.2766  4 Cd 2.96-3.30
Hg 0.3898 0.7796 0.7234  4 Cd 2.96-3.30

# 4
Compound: Ce2Cd3Hg4
Source: Alexandria via LeMat-Bulk
Functional: PBE
Structure: relaxed

Its space group is No. 64. The calculation puts the energy relative to the elements at -155 kJ/mol of formula units. The density of states at the Fermi level is 20.3 states/eV/f.u.

a b c (Å): 6.2777 8.8571 8.8580
angles (deg): 90.00 110.75 90.00
With the nearest neighbours (Å) after each atom.
Fractional positions:
Ce 0.1112 0.5849 0.2223  8 Hg 3.37-3.63, 4 Cd 3.51-3.72
Ce 0.8888 0.4151 0.7777  8 Hg 3.37-3.63, 4 Cd 3.51-3.72
Ce 0.3888 0.0849 0.7777  8 Hg 3.37-3.63, 4 Cd 3.51-3.72
Ce 0.6112 0.9151 0.2223  8 Hg 3.37-3.63, 4 Cd 3.51-3.72
Cd 0.0000 0.0000 0.0000  6 Hg 2.82-2.99
Cd 0.5000 0.5000 0.0000  6 Hg 2.82-2.99
Cd 0.5290 0.7500 0.5580  5 Hg 2.90-3.06, 2 Cd 3.14
Cd 0.9710 0.2500 0.4420  5 Hg 2.90-3.06, 2 Cd 3.14
Cd 0.4710 0.2500 0.4420  5 Hg 2.90-3.06, 2 Cd 3.14
Cd 0.0290 0.7500 0.5580  5 Hg 2.90-3.06, 2 Cd 3.14
Hg 0.7038 0.7500 0.9076  3 Cd 2.82-2.90, 2 Hg 3.14
Hg 0.7962 0.2500 0.0924  3 Cd 2.82-2.90, 2 Hg 3.14
Hg 0.2962 0.2500 0.0924  3 Cd 2.82-2.90, 2 Hg 3.14
Hg 0.2038 0.7500 0.9076  3 Cd 2.82-2.90, 2 Hg 3.14
Hg 0.1797 0.9643 0.3593  5 Cd 2.96-3.06
Hg 0.8203 0.0357 0.6407  5 Cd 2.96-3.06
Hg 0.3203 0.4643 0.6407  5 Cd 2.96-3.06
Hg 0.6797 0.5357 0.3593  5 Cd 2.96-3.06

| no. | magnetization (μB per atom) |
| --- | --- |
| 1 | 0.170 |
| 2 | 0.235 |
| 3 | 0.441 |
| 4 | 0.312 |